(1)
Computed, not measured: a relaxed TaBRu2Rh crystal at the PBE level of DFT.

Cell and atoms, written as POSCAR:
```
TaBRu2Rh
1.0
4.102 0.000 0.000
0.000 4.102 0.000
0.000 0.000 4.040
Ta B Ru Rh
1 1 2 1
Direct
0.000 0.000 0.000
0.500 0.500 0.500
0.000 0.500 0.500
0.500 0.000 0.500
0.500 0.500 0.000
```

Output
Energy relative to the elements: -31 kJ per mole of atoms
D(E_F): 3.054 states/eV/cell

(2)
Computed, not measured: a relaxed TlCrPb2 crystal at the PBE level of DFT.

Cell and atoms, written as POSCAR:
```
TlCrPb2
1.0
1.705 0.984 10.903
-1.705 0.984 10.903
0.000 -1.968 10.903
Tl Cr Pb
1 1 2
Direct
0.000 0.000 0.000
0.500 0.500 0.500
0.239 0.239 0.239
0.761 0.761 0.761
```

Output
Energy relative to the elements: 36 kJ per mole of atoms
D(E_F): 2.571 states/eV/cell
Energy above the most stable polymorph in this dataset: 0.085 eV per atom

Number 1 is which compound?
TaBRu2Rh